Density functional theory data (PBE) for an optimized crystal structure of Tc2NiRh.

Lattice parameters (Å, degrees): 8.8149 8.8149 8.8149 17.61 17.61 17.61
Fractional positions:
1 Rh 0.7500 0.7500 0.7500
2 Tc 0.9979 0.9979 0.9979
3 Ni 0.2500 0.2500 0.2500
4 Tc 0.5021 0.5021 0.5021

Properties
formation enthalpy at 0 K: 83 meV/atom
relative energy among the computed polymorphs: 169 meV per atom
DFT total energy: -8.38 eV per atom